VGePt after structural relaxation. Source: the Alexandria database, functional PBE.

Cell: 4.166 4.166 4.166 Å, 60.00 60.00 60.00°
Each line ends with the local moment (μB).
Fractional coordinates of all 3 atoms:
Ge 0.000 0.000 0.000  0.00
Pt 0.500 0.500 0.500  -0.05
V 0.750 0.750 0.750  0.47

Output
Its crystal system is cubic. For the formation energy, the calculation gives -0.1423 eV/atom.